Computed, not measured: a relaxed structure of MnSbO3 at the GGA+U level of DFT.

Calculated density ... 5.398 g cm⁻³
Calculated total energy ... -6.68 eV/atom
Magnetic moment ... 15.998 μB per cell
N(E_F) ... 0.06 states/eV/f.u.

a = 6.504 Å, b = 5.714 Å, c = 7.527 Å
α = 90.00°, β = 98.82°, γ = 90.00°
Space group P2_1/c (No. 14)
Asymmetric unit:
Mn 0.069 0.238 0.439 [4 per cell]
Sb 0.332 0.702 0.357 [4 per cell]
O 0.008 0.129 0.175 [4 per cell]
O 0.206 0.603 0.060 [4 per cell]
O 0.341 0.129 0.944 [4 per cell]